*i*
Crystalline Pa2CrTc at its relaxed geometry, computed with PBE.

Properties
DOS(E_F): 23.5 states/eV/cell
Calculated volume: 20.13 Å³ per atom

a b c (Å): 3.3423 3.3423 24.9657
angles (deg): 90.00 90.00 120.00
Space group R-3m (No. 166, hexagonal axes)
One atom of each set of equivalent atoms:
Pa1 0.0000 0.0000 0.2479 (multiplicity 6)
Cr1 0.0000 0.0000 0.5000 (multiplicity 3)
Tc1 0.0000 0.0000 0.0000 (multiplicity 3)

***

*ii*
Crystalline Pa2CrTc at its relaxed geometry, computed with PBE.

Properties
DOS(E_F): 25.3 states/eV/cell
Calculated volume: 19.80 Å³ per atom

a b c (Å): 6.8173 6.8173 6.8173
angles (deg): 90.00 90.00 90.00
Space group Fm-3m (No. 225)
One atom of each set of equivalent atoms:
Pa1 0.2500 0.2500 0.2500 (multiplicity 8)
Cr1 0.0000 0.0000 0.0000 (multiplicity 4)
Tc1 0.0000 0.0000 0.5000 (multiplicity 4)

***

*iii*
Crystalline Pa2CrTc at its relaxed geometry, computed with PBE.

Properties
DOS(E_F): 6.6 states/eV/cell
Calculated volume: 19.59 Å³ per atom

a b c (Å): 3.4029 3.4029 6.7655
angles (deg): 90.00 90.00 90.00
Space group P4/mmm (No. 123)
One atom of each set of equivalent atoms:
Pa1 0.0000 0.0000 0.2401 (multiplicity 2)
Cr1 0.5000 0.5000 0.0000 (multiplicity 1)
Tc1 0.5000 0.5000 0.5000 (multiplicity 1)

***

Which is most stable? The ranking, best first, is *ii*, *iii*, *i*.

***

*i*
Crystalline Pa2VCr at its relaxed geometry, computed with PBE.

Properties
DOS(E_F): 8.4 states/eV/cell
Calculated volume: 19.50 Å³ per atom

a b c (Å): 4.8295 4.8295 3.3438
angles (deg): 90.00 90.00 90.00
Space group P4/mmm (No. 123)
One atom of each set of equivalent atoms:
Pa1 0.0000 0.5000 0.0000 (multiplicity 2)
V1 0.0000 0.0000 0.5000 (multiplicity 1)
Cr1 0.5000 0.5000 0.5000 (multiplicity 1)

***

*ii*
Crystalline Pa2VCr at its relaxed geometry, computed with PBE.

Properties
DOS(E_F): 20.3 states/eV/cell
Calculated volume: 19.30 Å³ per atom

a b c (Å): 2.9765 2.9765 30.1843
angles (deg): 90.00 90.00 120.00
Space group R-3m (No. 166, hexagonal axes)
One atom of each set of equivalent atoms:
Pa1 0.0000 0.0000 0.0867 (multiplicity 6)
V1 0.0000 0.0000 0.0000 (multiplicity 3)
Cr1 0.0000 0.0000 0.5000 (multiplicity 3)

***

Which is most stable? The ranking, best first, is *i*, *ii*.

***

*i*
Crystalline PaV2Cr at its relaxed geometry, computed with PBE.

Properties
DOS(E_F): 5.8 states/eV/cell
Calculated volume: 15.59 Å³ per atom

a b c (Å): 3.1542 3.1542 6.2679
angles (deg): 90.00 90.00 90.00
Space group P4/mmm (No. 123)
One atom of each set of equivalent atoms:
Pa1 0.0000 0.0000 0.0000 (multiplicity 1)
V1 0.5000 0.5000 0.2751 (multiplicity 2)
Cr1 0.0000 0.0000 0.5000 (multiplicity 1)

***

*ii*
Crystalline PaV2Cr at its relaxed geometry, computed with PBE.

Properties
DOS(E_F): 16.2 states/eV/cell
Calculated volume: 15.19 Å³ per atom

a b c (Å): 6.2407 6.2407 6.2407
angles (deg): 90.00 90.00 90.00
Space group Fm-3m (No. 225)
One atom of each set of equivalent atoms:
Pa1 0.0000 0.0000 0.0000 (multiplicity 4)
V1 0.2500 0.2500 0.2500 (multiplicity 8)
Cr1 0.0000 0.0000 0.5000 (multiplicity 4)

***

Which is most stable? The ranking, best first, is *ii*, *i*.

***

*i*
Crystalline PaVCr2 at its relaxed geometry, computed with PBE.

Properties
DOS(E_F): 22.1 states/eV/cell
Calculated volume: 15.08 Å³ per atom

a b c (Å): 6.2250 6.2250 6.2250
angles (deg): 90.00 90.00 90.00
Space group Fm-3m (No. 225)
One atom of each set of equivalent atoms:
Pa1 0.0000 0.0000 0.0000 (multiplicity 4)
V1 0.0000 0.0000 0.5000 (multiplicity 4)
Cr1 0.2500 0.2500 0.2500 (multiplicity 8)

***

*ii*
Crystalline PaVCr2 at its relaxed geometry, computed with PBE.

Properties
DOS(E_F): 5.4 states/eV/cell
Calculated volume: 15.36 Å³ per atom

a b c (Å): 3.1615 3.1615 6.1450
angles (deg): 90.00 90.00 90.00
Space group P4/mmm (No. 123)
One atom of each set of equivalent atoms:
Pa1 0.0000 0.0000 0.0000 (multiplicity 1)
V1 0.0000 0.0000 0.5000 (multiplicity 1)
Cr1 0.5000 0.5000 0.2675 (multiplicity 2)

***

Which is most stable? The ranking, best first, is *i*, *ii*.